11
Lattice="4.213 -4.236 0.000 4.213 4.236 0.000 -0.558 0.000 4.840" Properties=species:S:1:pos:R:3 comment="ZnS2O8, relaxed, DFT GGA-PBE" e_form_raw_ev_per_atom=-0.97 energy_ev_per_cell=-59.91 dos_at_fermi_per_ev_cell=7.35 magmom_total_mub_per_fu=2.03 pbc="T T T"
Zn 0.000 0.000 0.000
S 1.509 0.000 3.148
S 6.359 0.000 1.692
O 0.778 1.172 3.785
O 1.346 0.000 1.682
O 0.778 -1.172 3.785
O 2.931 0.000 3.473
O 4.937 0.000 1.367
O 7.090 1.172 1.055
O 6.522 0.000 3.158
O 7.090 -1.172 1.055